1.
A plane-wave DFT calculation with GGA-PBE was carried out for crystalline LiMgCo2 at its relaxed geometry.

For the density of states at the Fermi level, the calculation gives 7.275 states/eV/cell. The calculated formation energy is 0.1930 eV per atom.

It has space group Imm2 (No. 44), with a = 3.003 Å, b = 4.359 Å, c = 8.399 Å, α = 90.00°, β = 90.00° and γ = 90.00°. Symmetry generates all atoms from Li at (0.000, 0.000, 0.000), Mg at (0.000, 0.500, 0.774), Co at (0.000, 0.000, 0.541) and Co at (0.000, 0.500, 0.244).


2.
A plane-wave DFT calculation with GGA-PBE was carried out for crystalline BaCo3Os at its relaxed geometry.

For the density of states at the Fermi level, the calculation gives 5.574 states/eV/cell. The calculated formation energy is 0.8702 eV per atom.

It has space group Pm-3m (No. 221), with a = 4.668 Å, b = 4.668 Å, c = 4.668 Å, α = 90.00°, β = 90.00° and γ = 90.00°. Symmetry generates all atoms from Ba at (0.000, 0.000, 0.000), Co at (0.000, 0.500, 0.500) and Os at (0.500, 0.500, 0.500).


3.
A plane-wave DFT calculation with GGA-PBE was carried out for crystalline Sc5SnPt4 at its relaxed geometry.

For the density of states at the Fermi level, the calculation gives 7.421 states/eV/cell. The calculated formation energy is -1.0980 eV per atom.

It has space group P4/mmm (No. 123), with a = 3.278 Å, b = 3.278 Å, c = 17.611 Å, α = 90.00°, β = 90.00° and γ = 90.00°. Symmetry generates all atoms from Sc at (0.000, 0.000, 0.000), Sc at (0.000, 0.000, 0.189), Sc at (0.000, 0.000, 0.378), Sn at (0.500, 0.500, 0.500), Pt at (0.500, 0.500, 0.094) and Pt at (0.500, 0.500, 0.283).


4.
A plane-wave DFT calculation with GGA-PBE was carried out for crystalline CuRhF3 at its relaxed geometry.

The formation energy from raw total energies comes out at -0.701 eV/atom. For the density of states at the Fermi level, the calculation gives 10.256 states/eV/cell.

It has space group Pm-3m (No. 221), with a = 4.027 Å, b = 4.027 Å, c = 4.027 Å, α = 90.00°, β = 90.00° and γ = 90.00°. Symmetry generates all atoms from Cu at (0.000, 0.000, 0.000), Rh at (0.500, 0.500, 0.500) and F at (0.000, 0.000, 0.500).


| no. | uncorrected energy (eV per atom) |
| --- | --- |
| 1 | -4.24 |
| 2 | -6.02 |
| 3 | -7.08 |
| 4 | -4.11 |